1.
A PBEsol-optimized structure of CuP2, computed with meta-GGA SCAN.

As for the theoretical density: 4461 kg/m³. Its total energy is -36.5 eV/f.u.

```
data_CuP2
_chemical_formula_sum 'Cu4 P8'
_cell_length_a 5.736
_cell_length_b 4.759
_cell_length_c 7.427
_cell_angle_alpha 90.00
_cell_angle_beta 112.81
_cell_angle_gamma 90.00
_symmetry_space_group_name_H-M 'P 1 21/c 1'
_symmetry_Int_Tables_number 14
loop_
_symmetry_equiv_pos_as_xyz
'x,y,z'
'-x,-y,-z'
'-x,y+1/2,-z+1/2'
'x,-y+1/2,z+1/2'
loop_
_atom_site_label
_atom_site_type_symbol
_atom_site_fract_x
_atom_site_fract_y
_atom_site_fract_z
Cu1 Cu 0.145 0.034 0.418
P1 P 0.243 0.724 0.696
P2 P 0.405 0.119 0.079
```

2.
A PBEsol-optimized structure of CuP, computed with meta-GGA SCAN.

As for the theoretical density: 5988 kg/m³. Its total energy is -24.6 eV/f.u.

```
data_CuP
_chemical_formula_sum 'Cu1 P1'
_cell_length_a 2.971
_cell_length_b 2.971
_cell_length_c 2.971
_cell_angle_alpha 90.00
_cell_angle_beta 90.00
_cell_angle_gamma 90.00
_symmetry_space_group_name_H-M 'P m -3 m'
_symmetry_Int_Tables_number 221
_symmetry_space_group_name_Hall '-P 4 2 3'
loop_
_atom_site_label
_atom_site_type_symbol
_atom_site_fract_x
_atom_site_fract_y
_atom_site_fract_z
Cu1 Cu 0.000 0.000 0.000
P1 P 0.500 0.500 0.500
```

3.
A PBEsol-optimized structure of CuPPb2, computed with meta-GGA SCAN.

As for the theoretical density: 9642 kg/m³. Its total energy is -176.5 eV/f.u.

```
data_CuPPb2
_chemical_formula_sum 'Cu1 P1 Pb2'
_cell_length_a 4.300
_cell_length_b 3.876
_cell_length_c 5.678
_cell_angle_alpha 90.00
_cell_angle_beta 112.14
_cell_angle_gamma 90.00
_symmetry_space_group_name_H-M 'P 1 m 1'
_symmetry_Int_Tables_number 6
loop_
_symmetry_equiv_pos_as_xyz
'x,y,z'
'x,-y,z'
loop_
_atom_site_label
_atom_site_type_symbol
_atom_site_fract_x
_atom_site_fract_y
_atom_site_fract_z
Cu1 Cu 0.000 0.000 0.000
P1 P 0.120 0.500 0.238
Pb1 Pb 0.409 0.500 0.820
Pb2 Pb 0.714 0.000 0.426
```

4.
A PBEsol-optimized structure of CuPPb2, computed with meta-GGA SCAN.

As for the theoretical density: 9505 kg/m³. Its total energy is -176.1 eV/f.u.

```
data_CuPPb2
_chemical_formula_sum 'Cu3 P3 Pb6'
_cell_length_a 3.9209
_cell_length_b 3.9209
_cell_length_c 20.0340
_cell_angle_alpha 90.00
_cell_angle_beta 90.00
_cell_angle_gamma 120.00
_symmetry_space_group_name_H-M 'R -3 m'
_symmetry_Int_Tables_number 166
_symmetry_space_group_name_Hall '-R 3 2"'
loop_
_atom_site_label
_atom_site_type_symbol
_atom_site_fract_x
_atom_site_fract_y
_atom_site_fract_z
Cu1 Cu 0.0000 0.0000 0.0000
P1 P 0.0000 0.0000 0.5000
Pb1 Pb 0.0000 0.0000 0.2515
```

Number 1: ΔE_f -159 meV per atom. Number 2: ΔE_f 488 meV per atom. Number 3: ΔE_f 156 meV per atom. Number 4: ΔE_f 275 meV per atom.